(1)
The following is a GGA-PBE calculation of Hg2SbCl after structural relaxation, from Alexandria via LeMat-Bulk.

Properties
* space-group type: Cmmm, No. 65

Cell and atoms, written as POSCAR:
```
Hg2SbCl
1.0
3.7543 0.0590 0.0000
-1.4707 3.4548 0.0000
0.0000 0.0000 8.3649
Cl Hg Sb
1 2 1
direct
0.5000 0.5000 0.7500 Cl
0.0000 0.0000 0.9973 Hg
0.0000 0.0000 0.5027 Hg
0.5000 0.5000 0.2500 Sb
```


(2)
The following is a GGA-PBE calculation of HgSb2Cl after structural relaxation, from Alexandria via LeMat-Bulk.

Properties
* space-group type: Cmmm, No. 65

Cell and atoms, written as POSCAR:
```
HgSb2Cl
1.0
5.9991 0.0813 0.0000
-2.7938 5.3095 0.0000
0.0000 0.0000 3.2143
Cl Hg Sb
1 1 2
direct
0.5000 0.0000 0.5000 Cl
0.0000 0.5000 0.5000 Hg
0.0000 0.0000 0.0000 Sb
0.5000 0.5000 0.0000 Sb
```


(3)
The following is a GGA-PBE calculation of HgSb2Cl after structural relaxation, from Alexandria via LeMat-Bulk.

Properties
* space-group type: Pm, No. 6

Cell and atoms, written as POSCAR:
```
HgSb2Cl
1.0
-4.4807 3.2208 -3.1044
-2.2836 -1.5753 1.6617
-2.4117 2.3538 5.9232
Cl Hg Sb
1 1 2
direct
0.0000 0.5765 0.5694 Cl
0.5000 0.6773 0.6485 Hg
0.0000 0.1061 0.1347 Sb
0.5000 0.1401 0.1474 Sb
```


(4)
The following is a GGA-PBE calculation of HgSbCl after structural relaxation, from Alexandria via LeMat-Bulk.

Properties
* space-group type: Fmm2, No. 42

Cell and atoms, written as POSCAR:
```
HgSbCl
1.0
-2.0800 7.8860 1.1720
-4.9620 5.9809 1.1996
1.4193 1.0752 2.9607
Cl Hg Sb
1 1 1
direct
0.0111 0.0111 0.9889 Cl
0.3348 0.3348 0.6652 Hg
0.6541 0.6541 0.3459 Sb
```


Calculated calculated volume in order - 109, 103, 118, 79 Å³ per cell
Calculated electronic total energy in order - -6.7, -9.8, -11.0, -6.5 eV/cell